Entry 1:
TaMnZn2 | GGA-PBE | optimized geometry

abc: 3.1372 4.4849 8.3999
angles: 90.00 90.00 90.00
With the nearest neighbours (Å) after each atom.
Space group Imm2 (No. 44)
One atom of each set of equivalent atoms:
Ta  0.0000  0.0000  0.0000 [2 per cell]  2 Mn 2.50, 6 Zn 2.74-2.77
Mn  0.0000  0.5000  0.7323 [2 per cell]  2 Ta 2.50, 6 Zn 2.63-2.74
Zn  0.0000  0.0000  0.4840 [2 per cell]  2 Zn 2.58, 2 Mn 2.63, 4 Ta 2.74
Zn  0.0000  0.5000  0.2276 [2 per cell]  2 Zn 2.58, 4 Mn 2.74, 2 Ta 2.77

Computed properties:
As for the total energy: -5.762 eV/atom. Its energy of formation from the pure elements is 131 meV per atom. Its calculated volume is 14.8 Å³/atom. The value obtained for the density is 10304 kg/m³. For the energy above the most stable polymorph in this dataset, the calculation gives 82 meV per atom.

***

Entry 2:
TaMn3Zn | GGA-PBE | optimized geometry

abc: 4.4120 4.4120 4.4120
angles: 90.00 90.00 90.00
With the nearest neighbours (Å) after each atom.
Space group Pm-3m (No. 221)
One atom of each set of equivalent atoms:
Ta  0.0000  0.0000  0.0000 [1 per cell]  12 Mn 3.12
Mn  0.0000  0.5000  0.5000 [3 per cell]  2 Zn 2.21
Zn  0.5000  0.5000  0.5000 [1 per cell]  6 Mn 2.21

Computed properties:
As for the total energy: -6.969 eV/atom. Its energy of formation from the pure elements is 1158 meV per atom. Its calculated volume is 17.2 Å³/atom. The value obtained for the density is 7950 kg/m³. For the energy above the most stable polymorph in this dataset, the calculation gives 0 meV per atom.

***

Entry 3:
TaMnZn | GGA-PBE | optimized geometry

abc: 5.9610 5.9610 5.9610
angles: 90.00 90.00 90.00
With the nearest neighbours (Å) after each atom.
Space group F-43m (No. 216)
One atom of each set of equivalent atoms:
Ta  0.0000  0.0000  0.0000 [4 per cell]  4 Mn 2.58, 4 Zn 2.58
Mn  0.2500  0.2500  0.2500 [4 per cell]  4 Ta 2.58
Zn  0.2500  0.2500  0.7500 [4 per cell]  4 Ta 2.58

Computed properties:
As for the total energy: -6.493 eV/atom. Its energy of formation from the pure elements is 939 meV per atom. Its calculated volume is 17.7 Å³/atom. The value obtained for the density is 9448 kg/m³. For the energy above the most stable polymorph in this dataset, the calculation gives 1039 meV per atom.

***

Entry 4:
TaMnZn | GGA-PBE | optimized geometry

abc: 4.3101 4.3101 2.6840
angles: 90.00 90.00 120.00
With the nearest neighbours (Å) after each atom.
Space group P3m1 (No. 156)
One atom of each set of equivalent atoms:
Ta  0.0000  0.0000  0.0000 [1 per cell]  3 Mn 2.61, 2 Ta 2.68, 6 Zn 2.75-2.92
Mn  0.6667  0.3333  0.7059 [1 per cell]  3 Zn 2.59, 3 Ta 2.61, 2 Mn 2.68
Zn  0.3333  0.6667  0.4320 [1 per cell]  3 Mn 2.59, 2 Zn 2.68, 3 Ta 2.75

Computed properties:
As for the total energy: -7.325 eV/atom. Its energy of formation from the pure elements is 107 meV per atom. Its calculated volume is 14.4 Å³/atom. The value obtained for the density is 11586 kg/m³. For the energy above the most stable polymorph in this dataset, the calculation gives 207 meV per atom.

***

Entry 5:
TaMnZn2 | GGA-PBE | optimized geometry

abc: 7.0501 7.0501 5.1193
angles: 90.00 90.00 90.00
With the nearest neighbours (Å) after each atom.
Space group I-42d (No. 122)
One atom of each set of equivalent atoms:
Ta  0.0000  0.0000  0.0000 [4 per cell]  2 Mn 2.56, 4 Zn 2.68
Mn  0.0000  0.0000  0.5000 [4 per cell]  4 Zn 2.47, 2 Ta 2.56
Zn  0.2285  0.2500  0.6250 [8 per cell]  2 Mn 2.47, 2 Zn 2.58, 2 Ta 2.68

Computed properties:
As for the total energy: -5.416 eV/atom. Its energy of formation from the pure elements is 476 meV per atom. Its calculated volume is 15.9 Å³/atom. The value obtained for the density is 9572 kg/m³. For the energy above the most stable polymorph in this dataset, the calculation gives 427 meV per atom.

***

Entry 6:
TaMnZn2 | GGA-PBE | optimized geometry

abc: 2.8177 2.8177 7.5571
angles: 90.00 90.00 90.00
With the nearest neighbours (Å) after each atom.
Space group P4mm (No. 99)
One atom of each set of equivalent atoms:
Ta  0.0000  0.0000  0.0000 [1 per cell]  4 Mn 2.81, 4 Ta 2.82, 4 Zn 2.85
Mn  0.5000  0.5000  0.7379 [1 per cell]  4 Zn 2.65, 4 Ta 2.81, 4 Mn 2.82
Zn  0.0000  0.0000  0.5068 [1 per cell]  4 Mn 2.65, 8 Zn 2.68-2.82
Zn  0.5000  0.5000  0.2689 [1 per cell]  8 Zn 2.68-2.82, 4 Ta 2.85

Computed properties:
As for the total energy: -5.843 eV/atom. Its energy of formation from the pure elements is 49 meV per atom. Its calculated volume is 15.0 Å³/atom. The value obtained for the density is 10149 kg/m³. For the energy above the most stable polymorph in this dataset, the calculation gives 0 meV per atom.

***

Entry 7:
TaMnZn2 | GGA-PBE | optimized geometry

abc: 2.8209 2.8209 27.3563
angles: 90.00 90.00 120.00
With the nearest neighbours (Å) after each atom.
Space group R-3m (No. 166, hexagonal axes)
One atom of each set of equivalent atoms:
Ta  0.0000  0.0000  0.0000 [3 per cell]  6 Ta 2.82, 6 Zn 2.91
Mn  0.0000  0.0000  0.5000 [3 per cell]  6 Zn 2.69, 6 Mn 2.82
Zn  0.0000  0.0000  0.2450 [6 per cell]  3 Mn 2.69, 6 Zn 2.82, 3 Ta 2.91

Computed properties:
As for the total energy: -5.705 eV/atom. Its energy of formation from the pure elements is 187 meV per atom. Its calculated volume is 15.7 Å³/atom. The value obtained for the density is 9690 kg/m³. For the energy above the most stable polymorph in this dataset, the calculation gives 138 meV per atom.

***

Entry 8:
TaMnZn | GGA-PBE | optimized geometry

abc: 5.8512 5.8512 5.8512
angles: 90.00 90.00 90.00
With the nearest neighbours (Å) after each atom.
Space group F-43m (No. 216)
One atom of each set of equivalent atoms:
Ta  0.0000  0.0000  0.0000 [4 per cell]  4 Mn 2.53
Mn  0.2500  0.2500  0.7500 [4 per cell]  4 Ta 2.53, 4 Zn 2.53
Zn  0.0000  0.0000  0.5000 [4 per cell]  4 Mn 2.53

Computed properties:
As for the total energy: -6.872 eV/atom. Its energy of formation from the pure elements is 560 meV per atom. Its calculated volume is 16.7 Å³/atom. The value obtained for the density is 9990 kg/m³. For the energy above the most stable polymorph in this dataset, the calculation gives 660 meV per atom.

***

Entry 9:
TaMnZn4 | GGA-PBE | optimized geometry

abc: 7.0127 7.0127 7.0127
angles: 90.00 90.00 90.00
With the nearest neighbours (Å) after each atom.
Space group F-43m (No. 216)
One atom of each set of equivalent atoms:
Ta  0.0000  0.0000  0.0000 [4 per cell]  12 Zn 2.91, 4 Mn 3.04
Mn  0.2500  0.2500  0.2500 [4 per cell]  12 Zn 2.91, 4 Ta 3.04
Zn  0.1248  0.1248  0.6248 [16 per cell]  6 Zn 2.47-2.48

Computed properties:
As for the total energy: -4.264 eV/atom. Its energy of formation from the pure elements is 89 meV per atom. Its calculated volume is 14.4 Å³/atom. The value obtained for the density is 9582 kg/m³.

***

Entry 10:
ZrTa4Mn5 | GGA-PBE | optimized geometry

abc: 3.0811 3.0811 15.4815
angles: 90.00 90.00 90.00
With the nearest neighbours (Å) after each atom.
Space group P4/mmm (No. 123)
One atom of each set of equivalent atoms:
Zr  0.0000  0.0000  0.0000 [1 per cell]  8 Mn 2.76, 4 Zr 3.08
Ta  0.0000  0.0000  0.2030 [2 per cell]  8 Mn 2.62-2.68
Ta  0.0000  0.0000  0.4011 [2 per cell]  8 Mn 2.64-2.66
Mn  0.5000  0.5000  0.1093 [2 per cell]  4 Ta 2.62, 4 Zr 2.76
Mn  0.5000  0.5000  0.3043 [2 per cell]  8 Ta 2.64-2.68
Mn  0.5000  0.5000  0.5000 [1 per cell]  8 Ta 2.66

Computed properties:
As for the total energy: -10.384 eV/atom. Its energy of formation from the pure elements is -203 meV per atom. Its calculated volume is 14.7 Å³/atom. The value obtained for the density is 12312 kg/m³.

***

Entry 11:
ZrTa2Mn | GGA-PBE | optimized geometry

abc: 3.9493 3.9493 9.3460
angles: 90.00 90.00 90.00
With the nearest neighbours (Å) after each atom.
Space group I4/mmm (No. 139)
One atom of each set of equivalent atoms:
Zr  0.0000  0.0000  0.0000 [2 per cell]  4 Mn 2.79, 8 Ta 3.06
Ta  0.0000  0.5000  0.2500 [4 per cell]  4 Ta 2.79, 4 Zr 3.06, 4 Mn 3.06
Mn  0.0000  0.0000  0.5000 [2 per cell]  4 Zr 2.79, 8 Ta 3.06

Computed properties:
As for the total energy: -10.151 eV/atom. Its energy of formation from the pure elements is 205 meV per atom. Its calculated volume is 18.2 Å³/atom. The value obtained for the density is 11575 kg/m³. For the energy above the most stable polymorph in this dataset, the calculation gives 214 meV per atom.

***

Entry 12:
ZrTa2Mn | GGA-PBE | optimized geometry

abc: 3.3438 4.7487 8.8259
angles: 90.00 90.00 90.00
With the nearest neighbours (Å) after each atom.
Space group Cmmm (No. 65)
One atom of each set of equivalent atoms:
Zr  0.0000  0.0000  0.0000 [2 per cell]  4 Zr 2.90, 4 Ta 3.05
Ta  0.0000  0.5000  0.2889 [4 per cell]  2 Mn 2.50
Mn  0.0000  0.0000  0.5000 [2 per cell]  4 Ta 2.50

Computed properties:
As for the total energy: -10.252 eV/atom. Its energy of formation from the pure elements is 103 meV per atom. Its calculated volume is 17.5 Å³/atom. The value obtained for the density is 12040 kg/m³. For the energy above the most stable polymorph in this dataset, the calculation gives 113 meV per atom.

***

Entry 13:
ZrTa2Mn | GGA-PBE | optimized geometry

abc: 6.4775 6.4775 6.4775
angles: 90.00 90.00 90.00
With the nearest neighbours (Å) after each atom.
Space group Fm-3m (No. 225)
One atom of each set of equivalent atoms:
Zr  0.0000  0.0000  0.0000 [4 per cell]  8 Ta 2.80
Ta  0.2500  0.2500  0.2500 [8 per cell]  4 Zr 2.80, 4 Mn 2.80
Mn  0.0000  0.0000  0.5000 [4 per cell]  8 Ta 2.80

Computed properties:
As for the total energy: -10.184 eV/atom. Its energy of formation from the pure elements is 172 meV per atom. Its calculated volume is 17.0 Å³/atom. The value obtained for the density is 12417 kg/m³. For the energy above the most stable polymorph in this dataset, the calculation gives 181 meV per atom.

***

Entry 14:
ZrTa2Mn | GGA-PBE | optimized geometry

abc: 3.0204 4.4079 5.3868
angles: 90.00 102.90 90.00
With the nearest neighbours (Å) after each atom.
Space group P2/m (No. 10)
One atom of each set of equivalent atoms:
Zr  0.0000  0.0000  0.0000 [1 per cell]  2 Mn 2.78, 4 Ta 2.88, 2 Zr 3.02
Ta  0.2904  0.5000  0.7302 [2 per cell]  2 Mn 2.67, 2 Ta 2.70-2.90, 2 Zr 2.88
Mn  0.5000  0.0000  0.5000 [1 per cell]  4 Ta 2.67, 2 Zr 2.78

Computed properties:
As for the total energy: -10.219 eV/atom. Its energy of formation from the pure elements is 137 meV per atom. Its calculated volume is 17.5 Å³/atom. The value obtained for the density is 12068 kg/m³. For the energy above the most stable polymorph in this dataset, the calculation gives 146 meV per atom.

***

Entry 15:
ZrTa2Mn | GGA-PBE | optimized geometry

abc: 3.1797 4.6808 9.3439
angles: 90.00 90.00 90.00
With the nearest neighbours (Å) after each atom.
Space group Immm (No. 71)
One atom of each set of equivalent atoms:
Zr  0.0000  0.0000  0.0000 [2 per cell]  4 Mn 2.83, 8 Ta 3.00-3.16
Ta  0.0000  0.5000  0.2276 [4 per cell]  2 Mn 2.65, 4 Ta 2.86
Mn  0.0000  0.0000  0.5000 [2 per cell]  4 Ta 2.65, 4 Zr 2.83

Computed properties:
As for the total energy: -10.360 eV/atom. Its energy of formation from the pure elements is -5 meV per atom. Its calculated volume is 17.4 Å³/atom. The value obtained for the density is 12132 kg/m³. For the energy above the most stable polymorph in this dataset, the calculation gives 5 meV per atom.

***

Entry 16:
ZrTaMn3 | GGA-PBE | optimized geometry

abc: 4.5962 4.5962 4.5962
angles: 90.00 90.00 90.00
With the nearest neighbours (Å) after each atom.
Space group Pm-3m (No. 221)
One atom of each set of equivalent atoms:
Zr  0.0000  0.0000  0.0000 [1 per cell]  12 Mn 3.25
Ta  0.5000  0.5000  0.5000 [1 per cell]  6 Mn 2.30
Mn  0.0000  0.5000  0.5000 [3 per cell]  2 Ta 2.30

Computed properties:
As for the total energy: -8.524 eV/atom. Its energy of formation from the pure elements is 1058 meV per atom. Its calculated volume is 19.4 Å³/atom. The value obtained for the density is 7474 kg/m³. For the energy above the most stable polymorph in this dataset, the calculation gives 0 meV per atom.

***

Entry 17:
Zr4TaMn | GGA-PBE | optimized geometry

abc: 8.0408 8.0408 8.0408
angles: 90.00 90.00 90.00
With the nearest neighbours (Å) after each atom.
Space group F-43m (No. 216)
One atom of each set of equivalent atoms:
Zr  0.1238  0.1238  0.3762 [16 per cell]  6 Zr 2.82-2.87
Ta  0.2500  0.2500  0.7500 [4 per cell]  12 Zr 3.33, 4 Mn 3.48
Mn  0.0000  0.0000  0.0000 [4 per cell]  12 Zr 3.34, 4 Ta 3.48

Computed properties:
As for the total energy: -8.582 eV/atom. Its energy of formation from the pure elements is 621 meV per atom. Its calculated volume is 21.7 Å³/atom. The value obtained for the density is 7676 kg/m³.

***

Entry 18:
Zr3TaMn8 | GGA-PBE | optimized geometry

abc: 4.9357 4.9357 24.2033
angles: 90.00 90.00 120.00
With the nearest neighbours (Å) after each atom.
Space group R3m (No. 160, hexagonal axes)
One atom of each set of equivalent atoms:
Zr  0.0000  0.0000  0.0000 [3 per cell]  12 Mn 2.89-2.93, 4 Zr 3.03-3.04
Zr  0.0000  0.0000  0.1257 [3 per cell]  12 Mn 2.85-2.89, 3 Ta 3.02, 1 Zr 3.04
Zr  0.0000  0.0000  0.6243 [3 per cell]  12 Mn 2.90-2.94, 1 Ta 3.01, 3 Zr 3.03
Ta  0.0000  0.0000  0.5000 [3 per cell]  12 Mn 2.86-2.89, 4 Zr 3.01-3.02
Mn  0.0000  0.0000  0.3125 [3 per cell]  6 Mn 2.49
Mn  0.0000  0.0000  0.8127 [3 per cell]  6 Mn 2.44-2.45
Mn  0.0020  0.5010  0.0639 [9 per cell]  6 Mn 2.45-2.49
Mn  0.1671  0.3343  0.8945 [9 per cell]  6 Mn 2.44-2.49

Computed properties:
As for the total energy: -9.415 eV/atom. Its energy of formation from the pure elements is -177 meV per atom. Its calculated volume is 14.2 Å³/atom. The value obtained for the density is 8723 kg/m³.

***

Entry 19:
ZrTa2Mn | GGA-PBE | optimized geometry

abc: 6.5110 6.5110 6.5110
angles: 90.00 90.00 90.00
With the nearest neighbours (Å) after each atom.
Space group F-43m (No. 216)
One atom of each set of equivalent atoms:
Zr  0.0000  0.0000  0.0000 [4 per cell]  4 Ta 2.82, 4 Mn 2.82
Ta  0.0000  0.0000  0.5000 [4 per cell]  4 Mn 2.82, 4 Ta 2.82
Ta  0.2500  0.2500  0.7500 [4 per cell]  4 Ta 2.82, 4 Zr 2.82
Mn  0.2500  0.2500  0.2500 [4 per cell]  4 Zr 2.82, 4 Ta 2.82

Computed properties:
As for the total energy: -10.225 eV/atom. Its energy of formation from the pure elements is 131 meV per atom. Its calculated volume is 17.3 Å³/atom. The value obtained for the density is 12226 kg/m³. For the energy above the most stable polymorph in this dataset, the calculation gives 140 meV per atom.

***

Entry 20:
ZrTa2Mn | GGA-PBE | optimized geometry

abc: 3.0441 3.0441 26.8130
angles: 90.00 90.00 120.00
With the nearest neighbours (Å) after each atom.
Space group R-3m (No. 166, hexagonal axes)
One atom of each set of equivalent atoms:
Zr  0.0000  0.0000  0.0000 [3 per cell]  6 Zr 3.04, 6 Ta 3.12
Ta  0.0000  0.0000  0.2374 [6 per cell]  3 Mn 2.59
Mn  0.0000  0.0000  0.5000 [3 per cell]  6 Ta 2.59

Computed properties:
As for the total energy: -10.124 eV/atom. Its energy of formation from the pure elements is 231 meV per atom. Its calculated volume is 17.9 Å³/atom. The value obtained for the density is 11762 kg/m³. For the energy above the most stable polymorph in this dataset, the calculation gives 240 meV per atom.